Run P
La4Sm5Y GGA-PBE relaxed; total magnetic moment = 0.00 μB/cell; Fermi-level density of states = 1.259 states/eV/atom; V = 693 Å³ per cell; crystal system = tetragonal
1.0
-2.249 -1.897 5.191
1.969 -10.200 -2.874
9.789 0.630 4.472
La Sm Y
8 10 2
Direct
0.628 0.000 0.701
0.628 0.701 0.000
0.628 0.299 0.000
0.628 0.000 0.299
0.372 0.500 0.201
0.372 0.799 0.500
0.372 0.201 0.500
0.372 0.500 0.799
0.153 0.840 0.840
0.153 0.160 0.840
0.000 0.500 0.000
0.153 0.840 0.160
0.153 0.160 0.160
0.847 0.660 0.340
0.847 0.340 0.340
0.000 0.000 0.500
0.847 0.340 0.660
0.847 0.660 0.660
0.645 0.000 0.000
0.355 0.500 0.500

=====

Run Q
La4Sm5Y GGA-PBE relaxed; total magnetic moment = 0.00 μB/cell; Fermi-level density of states = 1.743 states/eV/atom; V = 358 Å³ per cell; crystal system = monoclinic
1.0
5.507 0.000 -1.259
-0.058 10.623 -0.254
-1.423 0.166 6.448
La Sm Y
4 5 1
Direct
0.683 0.250 0.366
0.046 0.751 0.091
0.317 0.750 0.634
0.954 0.249 0.909
0.196 0.064 0.392
0.196 0.436 0.393
0.804 0.564 0.607
0.500 0.500 0.000
0.804 0.936 0.608
0.500 0.000 0.000

=====

Most favorable first, least favorable last: run Q, run P

=====

Run P
La2Sm8Y GGA-PBE relaxed; total magnetic moment = 0.00 μB/cell; Fermi-level density of states = 1.609 states/eV/atom; V = 385 Å³ per cell; crystal system = monoclinic
1.0
6.536 1.508 1.290
2.658 9.386 3.539
2.658 4.951 8.724
La Sm Y
2 8 1
Direct
0.406 0.199 0.199
0.594 0.801 0.801
0.770 0.175 0.649
0.230 0.351 0.825
0.823 0.243 0.243
0.177 0.757 0.757
0.770 0.649 0.175
0.230 0.825 0.351
0.267 0.412 0.412
0.733 0.588 0.588
0.000 0.000 0.000

=====

Run Q
La2Sm8Y GGA-PBE relaxed; total magnetic moment = 0.00 μB/cell; Fermi-level density of states = 1.627 states/eV/atom; V = 377 Å³ per cell; crystal system = monoclinic
1.0
-1.854 -4.654 -1.248
5.212 -0.398 -6.259
5.453 -1.407 7.827
La Sm Y
2 8 1
Direct
0.227 0.637 0.454
0.773 0.363 0.546
0.590 0.453 0.179
0.319 0.092 0.638
0.135 0.177 0.270
0.044 0.728 0.089
0.865 0.823 0.730
0.681 0.908 0.362
0.410 0.547 0.821
0.956 0.272 0.911
0.500 0.000 0.000

=====

Most favorable first, least favorable last: run Q, run P

=====

Run P
LaSm7Y2 GGA-PBE relaxed; total magnetic moment = 0.00 μB/cell; Fermi-level density of states = 1.471 states/eV/atom; V = 338 Å³ per cell; crystal system = triclinic
1.0
6.102 0.873 -1.274
2.710 7.054 -2.986
-2.704 0.870 8.422
La Sm Y
1 7 2
Direct
0.000 0.000 0.000
0.099 0.699 0.599
0.901 0.301 0.401
0.799 0.600 0.799
0.201 0.400 0.201
0.702 0.900 0.201
0.298 0.100 0.799
0.500 0.500 0.000
0.401 0.800 0.401
0.599 0.200 0.599

=====

Run Q
LaSm7Y2 GGA-PBE relaxed; total magnetic moment = 0.00 μB/cell; Fermi-level density of states = 1.594 states/eV/atom; V = 415 Å³ per cell; crystal system = orthorhombic
1.0
-1.689 -4.161 3.471
7.073 -5.426 -3.062
0.548 5.896 7.334
La Sm Y
1 7 2
Direct
0.000 0.000 0.000
0.000 0.784 0.216
0.000 0.216 0.784
0.500 0.064 0.290
0.500 0.936 0.710
0.500 0.290 0.064
0.500 0.710 0.936
0.500 0.500 0.500
0.500 0.705 0.295
0.500 0.295 0.705

=====

Most favorable first, least favorable last: run P, run Q

=====

Run P
LaSm4Y2 GGA-PBE relaxed; total magnetic moment = 0.00 μB/cell; Fermi-level density of states = 1.805 states/eV/atom; V = 480 Å³ per cell; crystal system = triclinic
1.0
8.095 1.767 -2.443
-3.055 8.835 -0.950
-0.703 0.433 6.335
La Sm Y
2 8 4
Direct
0.162 0.947 0.561
0.018 0.091 0.987
0.727 0.872 0.510
0.448 0.659 0.703
0.450 0.162 0.371
0.874 0.235 0.415
0.016 0.587 0.654
0.873 0.729 0.081
0.162 0.448 0.228
0.589 0.019 0.944
0.588 0.517 0.274
0.307 0.308 0.799
0.730 0.377 0.844
0.306 0.799 0.130

=====

Run Q
LaSm4Y2 GGA-PBE relaxed; total magnetic moment = 0.01 μB/cell; Fermi-level density of states = 2.036 states/eV/atom; V = 243 Å³ per cell; crystal system = monoclinic
1.0
3.459 0.000 0.000
0.000 5.881 0.270
0.000 -3.480 11.788
La Sm Y
1 4 2
Direct
0.000 0.071 0.072
0.500 0.935 0.798
0.000 0.654 0.236
0.500 0.208 0.344
0.000 0.489 0.907
0.500 0.358 0.644
0.500 0.785 0.499

=====

Most favorable first, least favorable last: run P, run Q